[1]
# HfNp3Pd12

A relaxed HfNp3Pd12 crystal (PBE-GGA, Alexandria).

abc: 4.108 4.108 16.508
angles: 90.00 90.00 90.00
Last column: magnetic moment on the atom in μB.
Positions (direct):
Hf 0.000 0.000 0.000  -0.01
Np 0.000 0.000 0.247  3.48
Np 0.000 0.000 0.500  3.45
Np 0.000 0.000 0.753  3.48
Pd 0.500 0.500 0.000  -0.01
Pd 0.500 0.500 0.245  -0.03
Pd 0.500 0.500 0.500  -0.03
Pd 0.500 0.500 0.755  -0.03
Pd 0.500 0.000 0.117  -0.01
Pd 0.500 0.000 0.373  -0.03
Pd 0.500 0.000 0.627  -0.03
Pd 0.500 0.000 0.883  -0.01
Pd 0.000 0.500 0.117  -0.01
Pd 0.000 0.500 0.373  -0.03
Pd 0.000 0.500 0.627  -0.03
Pd 0.000 0.500 0.883  -0.01

## Properties
ΔH_f (0 K)   -544.0 meV per atom
V   278.5 Å³ per cell
DOS(E_F)   2.05 states/eV per atom
SG   P4/mmm (123)

---

[2]
# HfNp2Pd9

A relaxed HfNp2Pd9 crystal (PBE-GGA, Alexandria).

abc: 4.099 4.099 12.345
angles: 90.00 90.00 90.00
Last column: magnetic moment on the atom in μB.
Positions (direct):
Hf 0.000 0.000 0.000  0.00
Np 0.000 0.000 0.331  3.50
Np 0.000 0.000 0.669  3.50
Pd 0.500 0.500 0.000  -0.01
Pd 0.500 0.500 0.328  -0.03
Pd 0.500 0.500 0.672  -0.03
Pd 0.500 0.000 0.157  -0.01
Pd 0.500 0.000 0.500  -0.02
Pd 0.500 0.000 0.843  -0.01
Pd 0.000 0.500 0.157  -0.01
Pd 0.000 0.500 0.500  -0.02
Pd 0.000 0.500 0.843  -0.01

## Properties
ΔH_f (0 K)   -580.1 meV per atom
V   207.5 Å³ per cell
DOS(E_F)   1.78 states/eV per atom
SG   P4/mmm (123)

---

[3]
# HfNpPd14

A relaxed HfNpPd14 crystal (PBE-GGA, Alexandria).

abc: 5.744 5.744 7.832
angles: 90.00 90.00 90.00
Last column: magnetic moment on the atom in μB.
Positions (direct):
Hf 0.875 0.875 0.500  0.00
Np 0.375 0.375 0.500  2.92
Pd 0.875 0.875 0.000  -0.07
Pd 0.375 0.375 0.000  0.02
Pd 0.875 0.375 0.500  -0.04
Pd 0.875 0.375 0.000  -0.05
Pd 0.375 0.875 0.500  -0.04
Pd 0.375 0.875 0.000  -0.05
Pd 0.627 0.123 0.250  -0.05
Pd 0.627 0.123 0.750  -0.05
Pd 0.123 0.627 0.250  -0.05
Pd 0.123 0.627 0.750  -0.05
Pd 0.627 0.627 0.250  -0.05
Pd 0.627 0.627 0.750  -0.05
Pd 0.123 0.123 0.250  -0.05
Pd 0.123 0.123 0.750  -0.05

## Properties
ΔH_f (0 K)   -350.4 meV per atom
V   258.5 Å³ per cell
DOS(E_F)   1.59 states/eV per atom
SG   P4/mmm (123)

---

[4]
# Hf2NpPd9

A relaxed Hf2NpPd9 crystal (PBE-GGA, Alexandria).

abc: 4.056 4.056 12.204
angles: 90.00 90.00 90.00
Last column: magnetic moment on the atom in μB.
Positions (direct):
Hf 0.000 0.000 0.336  0.00
Hf 0.000 0.000 0.664  0.00
Np 0.000 0.000 0.000  3.59
Pd 0.500 0.500 0.000  -0.01
Pd 0.500 0.500 0.339  0.00
Pd 0.500 0.500 0.661  0.00
Pd 0.500 0.000 0.177  0.00
Pd 0.500 0.000 0.500  0.00
Pd 0.500 0.000 0.823  0.00
Pd 0.000 0.500 0.177  0.00
Pd 0.000 0.500 0.500  0.00
Pd 0.000 0.500 0.823  0.00

## Properties
ΔH_f (0 K)   -725.4 meV per atom
V   200.8 Å³ per cell
DOS(E_F)   0.80 states/eV per atom
SG   P4/mmm (123)